This record from the Alexandria database describes a geometry-optimized TbBPt structure. The functional is PBE.

Cell lengths 10.425, 3.509, 5.664 Å; angles 90.00, 90.00, 90.00 degrees
Sites, in units of the cell vectors:
Tb 0.071 0.250 0.233
Tb 0.429 0.750 0.733
Tb 0.571 0.250 0.267
Tb 0.929 0.750 0.767
B 0.174 0.750 0.929
B 0.326 0.250 0.429
B 0.674 0.750 0.571
B 0.826 0.250 0.071
Pt 0.181 0.250 0.717
Pt 0.319 0.750 0.217
Pt 0.681 0.250 0.783
Pt 0.819 0.750 0.283

Output
SG: Pnma, No. 62
Total magnetization (μB per formula unit): 0.00

---

This record from the Alexandria database describes a geometry-optimized TbBPt3 structure. The functional is PBE.

Cell lengths 5.321, 5.629, 5.433 Å; angles 90.00, 96.62, 90.00 degrees
Sites, in units of the cell vectors:
Tb 0.142 0.250 0.199
Tb 0.858 0.750 0.801
B 0.372 0.750 0.039
B 0.628 0.250 0.961
Pt 0.134 0.750 0.320
Pt 0.359 0.006 0.743
Pt 0.359 0.494 0.743
Pt 0.641 0.506 0.257
Pt 0.641 0.994 0.257
Pt 0.866 0.250 0.680

Output
SG: P2_1/m, No. 11
Total magnetization (μB per formula unit): 0.00

---

This record from the Alexandria database describes a geometry-optimized TbBPt3 structure. The functional is PBE.

Cell lengths 5.790, 5.790, 5.599 Å; angles 90.00, 90.00, 120.00 degrees
Sites, in units of the cell vectors:
Tb 0.333 0.667 0.250
Tb 0.667 0.333 0.750
B 0.000 0.000 0.000
B 0.000 0.000 0.500
Pt 0.172 0.343 0.750
Pt 0.172 0.828 0.750
Pt 0.343 0.172 0.250
Pt 0.657 0.828 0.750
Pt 0.828 0.172 0.250
Pt 0.828 0.657 0.250

Output
SG: P6_3/mmc, No. 194
Total magnetization (μB per formula unit): 0.00

---

This record from the Alexandria database describes a geometry-optimized Tb2BPt5 structure. The functional is PBE.

Cell lengths 5.867, 5.867, 5.796 Å; angles 115.55, 115.55, 59.03 degrees
Sites, in units of the cell vectors:
Tb 0.000 0.000 0.000
Tb 0.500 0.500 0.469
B 0.711 0.711 0.211
Pt 0.010 0.498 0.497
Pt 0.472 0.472 0.941
Pt 0.490 0.997 0.976
Pt 0.498 0.010 0.497
Pt 0.997 0.490 0.976

Output
SG: Cm, No. 8
Total magnetization (μB per formula unit): 0.00

---

This record from the Alexandria database describes a geometry-optimized TbB3Pt6 structure. The functional is PBE.

Cell lengths 5.596, 5.610, 5.762 Å; angles 109.40, 91.01, 119.45 degrees
Sites, in units of the cell vectors:
Tb 0.000 0.000 0.000
B 0.124 0.233 0.507
B 0.349 0.731 0.137
B 0.699 0.409 0.152
Pt 0.092 0.567 0.384
Pt 0.463 0.945 0.861
Pt 0.473 0.179 0.385
Pt 0.475 0.454 0.868
Pt 0.713 0.812 0.401
Pt 0.957 0.407 0.814

Output
SG: P1, No. 1
Total magnetization (μB per formula unit): 0.00

---

This record from the Alexandria database describes a geometry-optimized TbBPt4 structure. The functional is PBE.

Cell lengths 7.708, 7.708, 5.006 Å; angles 108.87, 108.87, 43.33 degrees
Sites, in units of the cell vectors:
Tb 0.195 0.195 0.194
Tb 0.805 0.805 0.806
B 0.500 0.500 0.321
B 0.500 0.500 0.679
Pt 0.134 0.637 0.386
Pt 0.252 0.748 0.000
Pt 0.305 0.305 0.805
Pt 0.363 0.866 0.614
Pt 0.637 0.134 0.386
Pt 0.695 0.695 0.195
Pt 0.748 0.252 0.000
Pt 0.866 0.363 0.614

Output
SG: C2/m, No. 12
Total magnetization (μB per formula unit): 0.00

---

This record from the Alexandria database describes a geometry-optimized TbBPt2 structure. The functional is PBE.

Cell lengths 5.833, 5.833, 5.833 Å; angles 38.52, 38.52, 38.52 degrees
Sites, in units of the cell vectors:
Tb 0.000 0.000 0.000
B 0.500 0.500 0.500
Pt 0.213 0.213 0.213
Pt 0.787 0.787 0.787

Output
SG: R-3m, No. 166
Total magnetization (μB per formula unit): 0.00

---

This record from the Alexandria database describes a geometry-optimized TbB2Pt6 structure. The functional is PBE.

Cell lengths 7.561, 7.561, 7.561 Å; angles 60.00, 60.00, 60.00 degrees
Sites, in units of the cell vectors:
Tb 0.125 0.125 0.125
Tb 0.875 0.875 0.875
B 0.000 0.500 0.500
B 0.500 0.000 0.500
B 0.500 0.500 0.000
B 0.500 0.500 0.500
Pt 0.157 0.157 0.593
Pt 0.157 0.593 0.157
Pt 0.157 0.593 0.593
Pt 0.407 0.407 0.843
Pt 0.407 0.843 0.407
Pt 0.407 0.843 0.843
Pt 0.593 0.157 0.157
Pt 0.593 0.157 0.593
Pt 0.593 0.593 0.157
Pt 0.843 0.407 0.407
Pt 0.843 0.407 0.843
Pt 0.843 0.843 0.407

Output
SG: Fd-3m, No. 227
Total magnetization (μB per formula unit): 0.00

---

This record from the Alexandria database describes a geometry-optimized Tb2BPt6 structure. The functional is PBE.

Cell lengths 5.814, 5.814, 5.184 Å; angles 90.00, 90.00, 120.00 degrees
Sites, in units of the cell vectors:
Tb 0.333 0.667 0.276
Tb 0.667 0.333 0.724
B 0.000 0.000 0.500
Pt 0.167 0.334 0.766
Pt 0.167 0.833 0.766
Pt 0.334 0.167 0.234
Pt 0.666 0.833 0.766
Pt 0.833 0.167 0.234
Pt 0.833 0.666 0.234

Output
SG: P-3m1, No. 164
Total magnetization (μB per formula unit): 0.00

---

This record from the Alexandria database describes a geometry-optimized Tb3B2Pt9 structure. The functional is PBE.

Cell lengths 6.022, 6.022, 14.724 Å; angles 90.00, 90.00, 120.00 degrees
Sites, in units of the cell vectors:
Tb 0.000 0.000 0.250
Tb 0.000 0.000 0.750
Tb 0.333 0.667 0.079
Tb 0.333 0.667 0.421
Tb 0.667 0.333 0.579
Tb 0.667 0.333 0.921
B 0.333 0.667 0.659
B 0.333 0.667 0.841
B 0.667 0.333 0.159
B 0.667 0.333 0.341
Pt 0.012 0.506 0.250
Pt 0.160 0.320 0.581
Pt 0.160 0.320 0.919
Pt 0.160 0.840 0.581
Pt 0.160 0.840 0.919
Pt 0.320 0.160 0.081
Pt 0.320 0.160 0.419
Pt 0.494 0.506 0.250
Pt 0.494 0.988 0.250
Pt 0.506 0.012 0.750
Pt 0.506 0.494 0.750
Pt 0.680 0.840 0.581
Pt 0.680 0.840 0.919
Pt 0.840 0.160 0.081
Pt 0.840 0.160 0.419
Pt 0.840 0.680 0.081
Pt 0.840 0.680 0.419
Pt 0.988 0.494 0.750

Output
SG: P6_3/mmc, No. 194
Total magnetization (μB per formula unit): 0.00

---

This record from the Alexandria database describes a geometry-optimized TbBPt4 structure. The functional is PBE.

Cell lengths 5.608, 5.652, 7.716 Å; angles 108.11, 111.29, 90.01 degrees
Sites, in units of the cell vectors:
Tb 0.243 0.250 0.001
Tb 0.757 0.750 0.999
B 0.000 0.500 0.500
B 0.500 0.000 0.500
Pt 0.168 0.168 0.507
Pt 0.176 0.707 0.813
Pt 0.339 0.668 0.507
Pt 0.363 0.794 0.187
Pt 0.637 0.206 0.813
Pt 0.661 0.332 0.493
Pt 0.824 0.293 0.187
Pt 0.832 0.832 0.493

Output
SG: P-1, No. 2
Total magnetization (μB per formula unit): 0.00

---

This record from the Alexandria database describes a geometry-optimized TbTlBPt4 structure. The functional is PBE.

Cell lengths 7.412, 7.412, 7.412 Å; angles 60.00, 60.00, 60.00 degrees
Sites, in units of the cell vectors:
Tb 0.000 0.000 0.000
Tl 0.750 0.750 0.750
B 0.250 0.250 0.250
Pt 0.142 0.142 0.142
Pt 0.142 0.142 0.574
Pt 0.142 0.574 0.142
Pt 0.574 0.142 0.142

Output
SG: F-43m, No. 216
Total magnetization (μB per formula unit): 0.00

---

This record from the Alexandria database describes a geometry-optimized Tb3ZnB2Pt9 structure. The functional is PBE.

Cell lengths 5.720, 5.720, 9.293 Å; angles 90.00, 90.00, 120.00 degrees
Sites, in units of the cell vectors:
Tb 0.000 0.000 0.000
Tb 0.333 0.667 0.604
Tb 0.667 0.333 0.396
Zn 0.000 0.000 0.500
B 0.333 0.667 0.151
B 0.667 0.333 0.849
Pt 0.000 0.500 0.000
Pt 0.165 0.330 0.288
Pt 0.165 0.835 0.288
Pt 0.330 0.165 0.712
Pt 0.500 0.000 0.000
Pt 0.500 0.500 0.000
Pt 0.670 0.835 0.288
Pt 0.835 0.165 0.712
Pt 0.835 0.670 0.712

Output
SG: P-3m1, No. 164
Total magnetization (μB per formula unit): 0.00

---

This record from the Alexandria database describes a geometry-optimized Tb2ZnB3Pt12 structure. The functional is PBE.

Cell lengths 7.311, 7.311, 7.311 Å; angles 65.84, 65.84, 65.84 degrees
Sites, in units of the cell vectors:
Tb 0.105 0.105 0.105
Tb 0.895 0.895 0.895
Zn 0.500 0.500 0.500
B 0.000 0.500 0.500
B 0.500 0.000 0.500
B 0.500 0.500 0.000
Pt 0.117 0.627 0.627
Pt 0.173 0.173 0.591
Pt 0.173 0.591 0.173
Pt 0.373 0.373 0.883
Pt 0.373 0.883 0.373
Pt 0.409 0.827 0.827
Pt 0.591 0.173 0.173
Pt 0.627 0.117 0.627
Pt 0.627 0.627 0.117
Pt 0.827 0.409 0.827
Pt 0.827 0.827 0.409
Pt 0.883 0.373 0.373

Output
SG: R-3m, No. 166
Total magnetization (μB per formula unit): 0.00

---

This record from the Alexandria database describes a geometry-optimized Tc3BPt structure. The functional is PBE.

Cell lengths 4.774, 4.774, 4.774 Å; angles 90.00, 90.00, 90.00 degrees
Sites, in units of the cell vectors:
Tc 0.000 0.000 0.500
Tc 0.000 0.500 0.000
Tc 0.500 0.000 0.000
B 0.500 0.500 0.500
Pt 0.000 0.000 0.000

Output
SG: Pm-3m, No. 221
Total magnetization (μB per formula unit): 4.78

---

This record from the Alexandria database describes a geometry-optimized TcBPt2 structure. The functional is PBE.

Cell lengths 4.311, 4.311, 4.311 Å; angles 60.00, 60.00, 60.00 degrees
Sites, in units of the cell vectors:
Tc 0.000 0.000 0.000
B 0.500 0.500 0.500
Pt 0.250 0.250 0.250
Pt 0.750 0.750 0.750

Output
SG: Fm-3m, No. 225
Total magnetization (μB per formula unit): 2.21

---

This record from the Alexandria database describes a geometry-optimized Tc2BPt structure. The functional is PBE.

Cell lengths 7.371, 7.371, 7.371 Å; angles 145.14, 145.14, 50.13 degrees
Sites, in units of the cell vectors:
Tc 0.023 0.625 0.898
Tc 0.375 0.273 0.398
Tc 0.727 0.125 0.102
Tc 0.875 0.977 0.602
B 0.000 0.000 0.000
B 0.750 0.250 0.500
Pt 0.250 0.750 0.500
Pt 0.500 0.500 0.000

Output
SG: I-42d, No. 122
Total magnetization (μB per formula unit): 0.00

---

This record from the Alexandria database describes a geometry-optimized TcB2Pt structure. The functional is PBE.

Cell lengths 5.844, 5.844, 5.844 Å; angles 131.61, 131.61, 70.85 degrees
Sites, in units of the cell vectors:
Tc 0.000 0.000 0.000
Tc 0.750 0.250 0.500
B 0.128 0.625 0.003
B 0.375 0.378 0.503
B 0.622 0.125 0.997
B 0.875 0.872 0.497
Pt 0.250 0.750 0.500
Pt 0.500 0.500 0.000

Output
SG: I-42d, No. 122
Total magnetization (μB per formula unit): 1.00

---

This record from the Alexandria database describes a geometry-optimized TcBPt2 structure. The functional is PBE.

Cell lengths 6.499, 6.499, 6.499 Å; angles 133.94, 133.94, 67.18 degrees
Sites, in units of the cell vectors:
Tc 0.000 0.000 0.000
Tc 0.750 0.250 0.500
B 0.250 0.750 0.500
B 0.500 0.500 0.000
Pt 0.192 0.625 0.067
Pt 0.375 0.442 0.567
Pt 0.558 0.125 0.933
Pt 0.875 0.808 0.433

Output
SG: I-42d, No. 122
Total magnetization (μB per formula unit): 0.00

---

This record from the Alexandria database describes a geometry-optimized Tc3BPt structure. The functional is PBE.

Cell lengths 4.088, 4.088, 4.088 Å; angles 90.00, 90.00, 90.00 degrees
Sites, in units of the cell vectors:
Tc 0.000 0.000 0.500
Tc 0.000 0.500 0.000
Tc 0.500 0.000 0.000
B 0.000 0.000 0.000
Pt 0.500 0.500 0.500

Output
SG: Pm-3m, No. 221
Total magnetization (μB per formula unit): 0.00

---

This record from the Alexandria database describes a geometry-optimized TcB2Pt structure. The functional is PBE.

Cell lengths 3.895, 3.895, 3.895 Å; angles 60.00, 60.00, 60.00 degrees
Sites, in units of the cell vectors:
Tc 0.000 0.000 0.000
B 0.250 0.250 0.250
B 0.750 0.750 0.750
Pt 0.500 0.500 0.500

Output
SG: Fm-3m, No. 225
Total magnetization (μB per formula unit): 0.00

---

This record from the Alexandria database describes a geometry-optimized TcB3Pt structure. The functional is PBE.

Cell lengths 4.033, 4.033, 4.033 Å; angles 90.00, 90.00, 90.00 degrees
Sites, in units of the cell vectors:
Tc 0.000 0.000 0.000
B 0.000 0.000 0.500
B 0.000 0.500 0.000
B 0.500 0.000 0.000
Pt 0.500 0.500 0.500

Output
SG: Pm-3m, No. 221
Total magnetization (μB per formula unit): 0.00

---

| no. | energy of formation (eV per atom) | E (eV/cell) |
| --- | --- | --- |
| 1 | -0.730 | -78.158 |
| 2 | -0.865 | -67.515 |
| 3 | -0.776 | -66.625 |
| 4 | -0.971 | -53.907 |
| 5 | -0.511 | -66.013 |
| 6 | -0.708 | -79.443 |
| 7 | -0.508 | -25.422 |
| 8 | -0.518 | -117.778 |
| 9 | -0.948 | -60.717 |
| 10 | -0.908 | -188.644 |
| 11 | -0.623 | -78.413 |
| 12 | 0.937 | -31.277 |
| 13 | -0.854 | -95.690 |
| 14 | -0.446 | -111.083 |
| 15 | 2.773 | -29.953 |
| 16 | 0.774 | -26.028 |
| 17 | 0.744 | -60.946 |
| 18 | 0.366 | -56.597 |
| 19 | 0.544 | -53.902 |
| 20 | 0.065 | -43.491 |
| 21 | 0.200 | -28.963 |
| 22 | 1.318 | -29.847 |